## Ir4O11 (PBE)

Data for a relaxed Ir4O11 crystal.

Cell lengths 10.1677, 5.1842, 4.6819 Å; angles 101.82, 100.73, 117.88 degrees
Element x y z (fractional)
O1 0.1014 0.2874 0.2309
O2 0.3664 0.7040 0.7458
O3 0.4447 0.5358 0.1927
O4 0.9230 0.6089 0.2504
O5 0.2764 0.8555 0.1530
O6 0.5149 0.3707 0.7225
O7 0.5893 0.1422 0.1605
O8 0.7165 0.0086 0.7278
O9 0.0084 0.3343 0.7473
O10 0.2161 0.1017 0.7102
O11 0.7984 0.9481 0.2095
Ir1 0.4021 0.1160 0.9626
Ir2 0.2231 0.4375 0.9688
Ir3 0.5855 0.7754 0.9579
Ir4 0.9106 0.2758 0.0524

## Properties
The calculation puts the volume at 13.5 Å³/atom. The value obtained for the magnetization is 0.0 μB per cell. As for the space-group type: P1. The value obtained for the total energy is -6.45 eV/atom.



## Ir4O11 (PBE)

Data for a relaxed Ir4O11 crystal.

Cell lengths 10.0378, 5.0105, 4.7419 Å; angles 100.51, 104.50, 115.85 degrees
Each line ends with the local moment (μB).
Element x y z (fractional)
O1 0.0590 0.3708 0.8035  0.00
O2 0.5327 0.4070 0.8056  0.03
O3 0.9661 0.5948 0.2540  -0.01
O4 0.4682 0.5706 0.2383  0.04
O5 0.5763 0.1607 0.2622  0.01
O6 0.8109 0.9609 0.2653  0.00
O7 0.9209 0.8389 0.7881  -0.01
O8 0.2444 0.9702 0.1420  -0.03
O9 0.7054 0.0416 0.8002  0.01
O10 0.3922 0.7946 0.7509  0.01
O11 0.2326 0.1353 0.6422  -0.01
Ir1 0.3921 0.1444 0.9918  0.00
Ir2 0.5823 0.8190 0.0186  0.11
Ir3 0.9273 0.2038 0.0274  -0.02
Ir4 0.0163 0.9894 0.5022  -0.01

## Properties
The calculation puts the volume at 13.1 Å³/atom. The value obtained for the magnetization is 0.2 μB per cell. As for the space-group type: P1. The value obtained for the total energy is -6.34 eV/atom.



## IrO2 (PBE)

Data for a relaxed IrO2 crystal.

Cell lengths 4.3596, 4.3596, 4.3596 Å; angles 60.00, 60.00, 60.00 degrees
Element x y z (fractional)
Ir1 0.2500 0.2500 0.2500
Ir2 0.0000 0.0000 0.0000
O1 0.6250 0.1250 0.6250
O2 0.6250 0.6250 0.1250
O3 0.1250 0.6250 0.6250
O4 0.6250 0.6250 0.6250

## Properties
The calculation puts the volume at 9.8 Å³/atom. The value obtained for the magnetization is 0.1 μB per cell. As for the space-group type: Fd-3m. The value obtained for the total energy is -4.47 eV/atom.



## IrO (PBE)

Data for a relaxed IrO crystal.

Cell lengths 3.3629, 3.3629, 3.3629 Å; angles 60.00, 60.00, 60.00 degrees
Element x y z (fractional)
Ir1 0.0000 0.0000 0.0000
O1 0.2500 0.2500 0.2500

## Properties
The calculation puts the volume at 13.4 Å³/atom. The value obtained for the magnetization is 0.0 μB per cell. As for the space-group type: F-43m. The value obtained for the total energy is -6.24 eV/atom.



## IrO2 (PBE)

Data for a relaxed IrO2 crystal.

Cell lengths 5.4449, 9.1033, 5.5546 Å; angles 90.00, 90.00, 90.00 degrees
Element x y z (fractional)
O1 0.6814 0.4864 0.6477
O2 0.4637 0.7607 0.6195
O3 0.3186 0.5136 0.3523
O4 0.8186 0.9864 0.6477
O5 0.8186 0.5136 0.1477
O6 0.3186 0.9864 0.8523
O7 0.9637 0.7607 0.8805
O8 0.5363 0.2393 0.3805
O9 0.1814 0.0136 0.3523
O10 0.4637 0.7393 0.1195
O11 0.0363 0.2607 0.6195
O12 0.1814 0.4864 0.8523
O13 0.0363 0.2393 0.1195
O14 0.6814 0.0136 0.1477
O15 0.9637 0.7393 0.3805
O16 0.5363 0.2607 0.8805
Ir1 0.6273 0.6314 0.3832
Ir2 0.1273 0.6314 0.1168
Ir3 0.3727 0.3686 0.6168
Ir4 0.8727 0.3686 0.8832
Ir5 0.3727 0.1314 0.1168
Ir6 0.8727 0.1314 0.3832
Ir7 0.1273 0.8686 0.6168
Ir8 0.6273 0.8686 0.8832

## Properties
The calculation puts the volume at 11.5 Å³/atom. The value obtained for the magnetization is 0.0 μB per cell. As for the space-group type: Pbca. The value obtained for the total energy is -6.87 eV/atom.



## Ir4O5 (PBE)

Data for a relaxed Ir4O5 crystal.

Cell lengths 8.1410, 3.3964, 3.3964 Å; angles 90.00, 90.00, 90.00 degrees
Each line ends with the local moment (μB).
Element x y z (fractional)
O1 0.6935 0.5000 0.0000  0.03
O2 0.6935 0.0000 0.5000  0.03
O3 0.5000 0.5000 0.5000  0.17
O4 0.3065 0.5000 0.0000  0.03
O5 0.3065 0.0000 0.5000  0.03
Ir1 0.0000 0.0000 0.0000  0.02
Ir2 0.1582 0.5000 0.5000  0.03
Ir3 0.8418 0.5000 0.5000  0.03
Ir4 0.5000 0.0000 0.0000  0.32

## Properties
The calculation puts the volume at 10.4 Å³/atom. The value obtained for the magnetization is 0.7 μB per cell. As for the space-group type: P4/mmm. The value obtained for the total energy is -6.21 eV/atom.



What is the formula in the fourth record? IrO



magnetization of number 3 (IrO2)? 0.1 μB per cell



Which of these has the highest magnetization? Ir4O5